MnAl6Si4O19: relaxed, GGA+U.

Lattice parameters (Å, degrees): 5.7506 9.6185 11.9409 107.95 90.00 90.00
Last column: magnetic moment on the atom in μB.
Fractional positions:
1 O 0.7500 0.1680 0.8045  0.00
2 O 0.0138 0.4894 0.3299  -0.06
3 O 0.2500 0.9504 0.6026  -0.02
4 O 0.0091 0.2131 0.6109  -0.08
5 O 0.7500 0.7181 0.8457  -0.01
6 O 0.5091 0.7869 0.3891  -0.08
7 O 0.2500 0.9843 0.4007  -0.10
8 O 0.7500 0.2805 0.1653  0.00
9 O 0.4931 0.9303 0.7882  0.00
10 O 0.2500 0.6729 0.5078  -0.02
11 O 0.2500 0.9869 0.9880  0.00
12 O 0.7500 0.3271 0.4922  -0.02
13 O 0.7500 0.0496 0.3974  -0.02
14 O 0.5138 0.5106 0.6701  -0.06
15 O 0.9931 0.0697 0.2118  0.00
16 O 0.4862 0.4894 0.3299  -0.06
17 O 0.2500 0.1614 0.7890  0.00
18 O 0.9909 0.7869 0.3891  -0.08
19 O 0.2500 0.4573 0.8283  -0.02
20 O 0.9869 0.3395 0.9871  0.00
21 O 0.0131 0.6605 0.0129  0.00
22 O 0.7500 0.5427 0.1717  -0.02
23 O 0.5131 0.3395 0.9871  0.00
24 O 0.7500 0.0157 0.5993  -0.10
25 O 0.2500 0.3748 0.4746  -0.06
26 O 0.5069 0.0697 0.2118  0.00
27 O 0.7500 0.8386 0.2110  0.00
28 O 0.0069 0.9303 0.7882  0.00
29 O 0.7500 0.0131 0.0120  0.00
30 O 0.2500 0.8320 0.1955  0.00
31 O 0.7500 0.4651 0.8560  0.00
32 O 0.7500 0.6252 0.5254  -0.06
33 O 0.4869 0.6605 0.0129  0.00
34 O 0.9862 0.5106 0.6701  -0.06
35 O 0.2500 0.5349 0.1440  0.00
36 O 0.4909 0.2131 0.6109  -0.08
37 O 0.2500 0.2819 0.1543  -0.01
38 O 0.2500 0.7195 0.8347  0.00
39 Al 0.2500 0.3220 0.9042  0.00
40 Al 0.5024 0.5930 0.8349  0.00
41 Al 0.4976 0.4070 0.1651  0.00
42 Al 0.0087 0.0660 0.6929  0.00
43 Al 0.9913 0.9340 0.3071  0.00
44 Al 0.5087 0.9340 0.3071  0.00
45 Al 0.9976 0.5930 0.8349  0.00
46 Al 0.7500 0.9081 0.8654  0.00
47 Al 0.0024 0.4070 0.1651  0.00
48 Al 0.7500 0.6780 0.0958  0.00
49 Al 0.2500 0.0919 0.1346  0.00
50 Al 0.4913 0.0660 0.6929  0.00
51 Si 0.7500 0.1708 0.5327  0.01
52 Si 0.7500 0.3239 0.9057  0.00
53 Si 0.7500 0.1034 0.1496  0.00
54 Si 0.2500 0.5092 0.4165  0.01
55 Si 0.2500 0.8966 0.8504  0.00
56 Si 0.2500 0.6761 0.0943  0.00
57 Si 0.7500 0.4908 0.5835  0.01
58 Si 0.2500 0.8292 0.4673  0.01
59 Mn 0.2500 0.3631 0.6255  3.37
60 Mn 0.7500 0.6369 0.3745  3.37

Calculated values
Symmetry: No. 11
Final energy (eV/atom): -7.550
Crystal system: monoclinic
Magnetization (μB per cell): 5.84